An optimized crystal structure of Li6MnV3P6O24, computed with GGA+U.

```
40
Lattice="-3.7827 1.3359 8.0797 -1.6229 -6.6080 5.9224 4.4188 -0.9197 7.8104" Properties=species:S:1:pos:R:3 pbc="T T T"
O 0.9575 -3.4923 8.4824
O -2.4753 -5.0051 14.9302
O -1.9725 -3.0792 8.4671
O 0.7844 -5.4439 17.4937
O 1.0492 -0.2441 4.5349
O -2.4596 -0.0452 9.9665
O -1.9609 -2.5303 13.2763
O -1.9812 -6.0637 17.1926
O 1.3342 -1.2591 6.8492
O 2.9144 -2.2741 9.5769
O -0.5448 -3.5495 6.1141
O -3.9477 -3.8389 12.3527
O 0.8434 -0.6171 13.4841
O -1.6785 -0.6261 4.3031
O -0.4326 -2.4744 15.7410
O 0.0580 -2.7141 3.7889
O -0.1673 -0.8465 9.1826
O -1.7198 -5.6180 8.4181
O -1.6853 -0.8127 6.8393
O 1.3967 -6.2584 11.9077
O -1.1855 -3.4406 17.9732
O 0.8440 -5.4704 14.9483
O 1.1284 -3.1416 13.2425
O -0.9331 -5.4060 12.5064
Li 1.9686 -4.9211 13.2931
Li -2.8548 -5.4211 12.9329
Li 0.0236 -5.0364 7.6267
Li -0.9443 -1.1430 14.2338
Li 1.8105 -0.7364 8.9281
Li -2.9693 -1.3501 8.5377
P -0.1243 -6.5519 11.9086
P -3.4409 -2.4864 12.9126
P 1.8384 -1.7965 13.3473
P -0.9324 0.3127 9.8920
P -2.7484 -4.4322 8.4629
P 2.4465 -3.6250 8.9270
V -0.3462 -2.1720 7.6516
V -0.1463 -0.9182 3.2346
V -0.8427 -5.2878 18.6278
Mn -0.6406 -4.0195 14.1600
```

E_tot (eV/cell): -283.37
Crystal system: trigonal
Space-group type: R3 (146)